GGA+U CoSe3O, relaxed; size of the total moment = 0.584 μB/atom; volume = 18.02 Å³ per atom; E_tot = -17.28 eV per formula unit; offset from the most stable computed form = 0 meV per atom
1.0
4.483 0.000 0.000
0.000 4.483 0.000
0.000 0.000 4.483
Co Se O
1 3 1
Direct
0.000 0.000 0.000
0.000 0.500 0.500
0.500 0.000 0.500
0.500 0.500 0.000
0.500 0.500 0.500